Entry 1:
The following is a DFT calculation (GGA-PBE) of an optimized crystal structure of NiAsPC.

Cell and atoms, written as POSCAR:
```
NiAsPC
1.0
3.210 0.000 0.000
-1.605 2.780 0.000
0.000 0.000 6.143
Ni As P C
1 1 1 1
Cartesian
0.000 0.000 0.000 Ni
0.000 0.000 3.800 As
0.000 1.853 1.054 P
0.000 1.853 2.879 C
```

Entry 2:
The following is a DFT calculation (GGA-PBE) of an optimized crystal structure of NiAsPC.

Cell and atoms, written as POSCAR:
```
NiAsPC
1.0
2.833 0.000 0.000
-0.001 3.746 0.000
-1.381 -0.331 6.004
Ni As P C
1 1 1 1
Cartesian
0.000 0.000 0.000 Ni
0.001 1.887 1.449 As
0.035 0.874 4.442 P
1.451 1.583 5.282 C
```

Entry 3:
The following is a DFT calculation (GGA-PBE) of an optimized crystal structure of NiAsPC.

Cell and atoms, written as POSCAR:
```
NiAsPC
1.0
3.808 -1.426 0.000
3.808 1.426 0.000
-2.830 0.000 5.172
Ni As P C
1 1 1 1
Cartesian
0.000 0.000 0.000 Ni
0.049 0.000 3.428 As
5.528 0.000 0.922 P
1.112 0.000 1.775 C
```

Entry 4:
The following is a DFT calculation (GGA-PBE) of an optimized crystal structure of NiAsPC.

Cell and atoms, written as POSCAR:
```
NiAsPC
1.0
3.307 0.000 0.000
-1.240 3.555 0.000
-0.529 -0.876 4.688
Ni As P C
1 1 1 1
Cartesian
0.000 0.000 0.000 Ni
1.864 0.834 3.010 As
0.402 2.240 0.557 P
0.151 1.048 1.788 C
```

no.,formation energy (eV per atom)
1,0.229
2,0.311
3,0.247
4,0.398